Density functional theory data (PBE-GGA) for a relaxed La2SiHg crystal.

abc: 4.128 4.814 10.762
angles: 90.00 90.00 90.00
Fractional positions:
1 La 0.000 0.000 0.000
2 La 0.000 0.500 0.222
3 La 0.500 0.000 0.722
4 La 0.500 0.500 0.500
5 Si 0.000 0.000 0.453
6 Si 0.500 0.500 0.953
7 Hg 0.000 0.500 0.776
8 Hg 0.500 0.000 0.276

E, eV per atom: -4.374
ρ, Mg/m³: 7.864
DOS at the Fermi energy, states/eV/atom: 0.610